1.
Compound: K4Cd2In3
Source: the Alexandria database
Functional: PBE
Structure: relaxed

Its spin magnetization is 0.00 μB/atom. The formation energy comes out at -0.0764 eV/atom. As for the density of states at the Fermi level: 0.54 states/eV/atom. The volume comes out at 703.1 Å³/cell.

Unit cell a=18.115 b=4.972 c=8.103 alpha=90.00 beta=105.58 gamma=90.00
Space group C2/m (No. 12)
Unique sites:
K 0.083 0.000 0.392
K 0.231 0.500 0.189
Cd 0.087 0.000 0.935
In 0.000 0.500 0.000
In 0.094 0.500 0.733

***

2.
Compound: KCdIn2
Source: the Alexandria database
Functional: PBE
Structure: relaxed

Its spin magnetization is 0.00 μB/atom. The formation energy comes out at -0.0404 eV/atom. As for the density of states at the Fermi level: 0.55 states/eV/atom. The volume comes out at 254.4 Å³/cell.

Unit cell a=9.515 b=3.395 c=7.933 alpha=90.00 beta=96.83 gamma=90.00
Space group C2/m (No. 12)
Unique sites:
K 0.000 0.000 0.000
Cd 0.000 0.500 0.500
In 0.243 0.000 0.686

***

3.
Compound: KCd2In
Source: the Alexandria database
Functional: PBE
Structure: relaxed

Its spin magnetization is 0.00 μB/atom. The formation energy comes out at 0.0828 eV/atom. As for the density of states at the Fermi level: 0.72 states/eV/atom. The volume comes out at 616.3 Å³/cell.

Unit cell a=5.501 b=5.501 c=20.362 alpha=90.00 beta=90.00 gamma=90.00
Space group I-42d (No. 122)
Unique sites:
K 0.000 0.000 0.000
Cd 0.095 0.250 0.625
In 0.000 0.000 0.500

***

4.
Compound: KCd4In12
Source: the Alexandria database
Functional: PBE
Structure: relaxed

Its spin magnetization is 0.00 μB/atom. The formation energy comes out at 0.0978 eV/atom. As for the density of states at the Fermi level: 0.59 states/eV/atom. The volume comes out at 1036.2 Å³/cell.

Unit cell a=10.119 b=10.119 c=10.119 alpha=90.00 beta=90.00 gamma=90.00
Space group Im-3 (No. 204)
Unique sites:
K 0.000 0.000 0.000
Cd 0.250 0.250 0.250
In 0.000 0.152 0.354

***

5.
Compound: KCd2In
Source: the Alexandria database
Functional: PBE
Structure: relaxed

Its spin magnetization is 0.00 μB/atom. The formation energy comes out at -0.0167 eV/atom. As for the density of states at the Fermi level: 0.48 states/eV/atom. The volume comes out at 123.2 Å³/cell.

Unit cell a=3.577 b=4.357 c=7.903 alpha=90.00 beta=90.00 gamma=90.00
Space group Pmmm (No. 47)
Unique sites:
K 0.000 0.000 0.000
Cd 0.500 0.500 0.299
In 0.000 0.000 0.500

***

6.
Compound: KCdIn2
Source: the Alexandria database
Functional: PBE
Structure: relaxed

Its spin magnetization is 0.00 μB/atom. The formation energy comes out at -0.0066 eV/atom. As for the density of states at the Fermi level: 0.61 states/eV/atom. The volume comes out at 230.0 Å³/cell.

Unit cell a=5.452 b=5.452 c=7.737 alpha=90.00 beta=90.00 gamma=90.00
Space group I-4m2 (No. 119)
Unique sites:
K 0.000 0.000 0.000
Cd 0.000 0.500 0.750
In 0.000 0.000 0.500
In 0.000 0.500 0.250